## a
Entry from the Alexandria database: an optimized crystal structure of Tc3Ru4 (PBE).

a b c (Å): 3.229 3.229 19.576
angles (deg): 90.00 90.00 90.00
Space group I4/mmm (No. 139)
Unique sites:
1 Tc 0.000 0.000 0.000 (multiplicity 2)
2 Tc 0.000 0.000 0.288 (multiplicity 4)
3 Ru 0.000 0.000 0.144 (multiplicity 4)
4 Ru 0.000 0.000 0.429 (multiplicity 4)

## b
Entry from the Alexandria database: an optimized crystal structure of Tc3Ru4 (PBE).

a b c (Å): 4.9707 4.9707 4.8291
angles (deg): 90.00 90.00 120.00
Space group P6/mmm (No. 191)
Unique sites:
1 Tc 0.0000 0.5000 0.0000 (multiplicity 3)
2 Ru 0.0000 0.0000 0.2570 (multiplicity 2)
3 Ru 0.3333 0.6667 0.5000 (multiplicity 2)

Stability verdict: b, ahead by 13.7 kJ/mol of atoms

## a
Entry from the Alexandria database: an optimized crystal structure of TcTeRu (PBE).

a b c (Å): 4.3754 4.3754 3.0483
angles (deg): 90.00 90.00 120.00
Space group P3m1 (No. 156)
Unique sites:
1 Tc 0.0000 0.0000 0.0000 (multiplicity 1)
2 Te 0.3333 0.6667 0.2789 (multiplicity 1)
3 Ru 0.6667 0.3333 0.5172 (multiplicity 1)

## b
Entry from the Alexandria database: an optimized crystal structure of TcTeRu (PBE).

a b c (Å): 3.0570 3.0570 12.6248
angles (deg): 90.00 90.00 120.00
Space group P-6m2 (No. 187)
Unique sites:
1 Tc 0.0000 0.0000 0.0000 (multiplicity 1)
2 Tc 0.0000 0.0000 0.5000 (multiplicity 1)
3 Te 0.3333 0.6667 0.1663 (multiplicity 2)
4 Ru 0.6667 0.3333 0.3425 (multiplicity 2)

## c
Entry from the Alexandria database: an optimized crystal structure of TcTeRu (PBE).

a b c (Å): 6.120 6.120 6.120
angles (deg): 90.00 90.00 90.00
Space group F-43m (No. 216)
Unique sites:
1 Tc 0.000 0.000 0.000 (multiplicity 4)
2 Te 0.250 0.250 0.250 (multiplicity 4)
3 Ru 0.250 0.250 0.750 (multiplicity 4)

Stability verdict: c, ahead by 9.6 kJ/mol of atoms

## a
Entry from the Alexandria database: an optimized crystal structure of TcTeRu (PBE).

a b c (Å): 3.073 3.073 10.757
angles (deg): 90.00 90.00 90.00
Space group I4mm (No. 107)
Unique sites:
1 Tc 0.000 0.000 0.000 (multiplicity 2)
2 Te 0.000 0.000 0.327 (multiplicity 2)
3 Ru 0.000 0.000 0.645 (multiplicity 2)

## b
Entry from the Alexandria database: an optimized crystal structure of TcTeRu (PBE).

a b c (Å): 3.079 4.038 8.077
angles (deg): 90.00 90.00 90.00
Space group Imm2 (No. 44)
Unique sites:
1 Tc 0.000 0.000 0.000 (multiplicity 2)
2 Te 0.000 0.000 0.674 (multiplicity 2)
3 Ru 0.000 0.000 0.349 (multiplicity 2)

Stability verdict: a, ahead by 8.1 kJ/mol of atoms

## a
Entry from the Alexandria database: an optimized crystal structure of TcTe2Ru2 (PBE).

a b c (Å): 3.444 3.444 16.383
angles (deg): 90.00 90.00 90.00
Space group I4/mmm (No. 139)
Unique sites:
1 Tc 0.000 0.000 0.000 (multiplicity 2)
2 Te 0.000 0.000 0.400 (multiplicity 4)
3 Ru 0.000 0.500 0.250 (multiplicity 4)

## b
Entry from the Alexandria database: an optimized crystal structure of TcTe2Ru2 (PBE).

a b c (Å): 7.460 7.460 3.179
angles (deg): 90.00 90.00 90.00
Space group P4/mbm (No. 127)
Unique sites:
1 Tc 0.000 0.000 0.000 (multiplicity 2)
2 Te 0.160 0.340 0.000 (multiplicity 4)
3 Ru 0.141 0.641 0.500 (multiplicity 4)

Stability verdict: b, ahead by 14.2 kJ/mol of atoms